# 1
Here is a relaxed Zr2InAg crystal from Alexandria. Energies are from GGA-PBEsol.

a b c (Å): 4.3242 4.3242 5.2640
angles (deg): 114.25 114.25 90.00
Atoms (fractional coordinates):
1 In 0.0000 0.0000 0.0000
2 Zr 0.2500 0.7500 0.5000
3 Zr 0.7500 0.2500 0.5000
4 Ag 0.5000 0.5000 0.0000

Space group: I4/mmm
Volume in Å³/atom: 20.03
DFT formation energy in eV/f.u.: -0.94
Total magnetization in μB per formula unit: 0.0


# 2
Here is a relaxed Zr2InAg crystal from Alexandria. Energies are from GGA-PBEsol.

a b c (Å): 3.2479 5.0886 5.5674
angles (deg): 111.63 106.96 90.00
Atoms (fractional coordinates):
1 Ag 0.5023 0.5477 0.0047
2 Zr 0.7589 0.2160 0.5177
3 Zr 0.0025 0.0395 0.0050
4 In 0.2363 0.6968 0.4726

Space group: Cm
Volume in Å³/atom: 20.30
DFT formation energy in eV/f.u.: -0.76
Total magnetization in μB per formula unit: 0.0


# 3
Here is a relaxed ZrIn2Ag crystal from Alexandria. Energies are from GGA-PBEsol.

a b c (Å): 4.1913 4.3733 4.3733
angles (deg): 90.00 90.00 90.00
Atoms (fractional coordinates):
1 Ag 0.5000 0.0000 0.0000
2 In 0.0000 0.0000 0.5000
3 In 0.0000 0.5000 0.0000
4 Zr 0.5000 0.5000 0.5000

Space group: P4/mmm
Volume in Å³/atom: 20.04
DFT formation energy in eV/f.u.: -1.21
Total magnetization in μB per formula unit: 0.0


# 4
Here is a relaxed Zr2InAg crystal from Alexandria. Energies are from GGA-PBEsol.

a b c (Å): 3.0788 5.0044 5.2319
angles (deg): 90.00 90.00 90.00
Atoms (fractional coordinates):
1 Zr 0.0000 0.0000 0.0612
2 Zr 0.0000 0.5000 0.6939
3 Ag 0.5000 0.0000 0.5477
4 In 0.5000 0.5000 0.1972

Space group: Pmm2
Volume in Å³/atom: 20.15
DFT formation energy in eV/f.u.: -0.76
Total magnetization in μB per formula unit: 0.0


# 5
Here is a relaxed Zr2InAg crystal from Alexandria. Energies are from GGA-PBEsol.

a b c (Å): 3.1246 3.1246 8.3954
angles (deg): 90.00 90.00 90.00
Atoms (fractional coordinates):
1 Zr 0.0000 0.0000 0.9960
2 Zr 0.5000 0.5000 0.2648
3 Ag 0.0000 0.0000 0.5078
4 In 0.5000 0.5000 0.7314

Space group: P4mm
Volume in Å³/atom: 20.49
DFT formation energy in eV/f.u.: -0.64
Total magnetization in μB per formula unit: 0.0


# 6
Here is a relaxed AgIr2 crystal from Alexandria. Energies are from GGA-PBEsol.

a b c (Å): 2.7267 2.7267 6.8742
angles (deg): 90.00 90.00 120.00
Atoms (fractional coordinates):
1 Ir 0.3333 0.6667 0.6548
2 Ir 0.6667 0.3333 0.3452
3 Ag 0.0000 0.0000 0.0000

Space group: P-3m1
Volume in Å³/atom: 14.75
DFT formation energy in eV/f.u.: 0.65
Total magnetization in μB per formula unit: 0.0


no.,density of states at the Fermi level (states/eV/cell)
1,4.00
2,2.59
3,1.52
4,3.44
5,2.97
6,2.27